# 1
This record from Alexandria via LeMat-Bulk describes crystalline TlAgSn at its relaxed geometry. The functional is PBE.

The relative energy among the computed polymorphs is 0 meV per atom. As for the formation energy: 0.0318 eV/atom.

The space group is C2/m (No. 12) and the conventional cell measures 12.5929, 5.6842 and 4.9479 Å, with angles of 90.00, 113.06 and 90.00 degrees. The inequivalent atoms are Tl at (0.1252, 0.0000, 0.3758), Ag at (0.0618, 0.5000, 0.3118) and Sn at (0.1882, 0.5000, 0.9379).

***

# 2
This record from Alexandria via LeMat-Bulk describes crystalline NaSrPd10 at its relaxed geometry. The functional is PBE.

As for the formation energy: -0.1704 eV/atom.

The space group is Pmmm (No. 47) and the conventional cell measures 4.4603, 5.3898 and 9.3201 Å, with angles of 90.00, 90.00 and 90.00 degrees. The inequivalent atoms are Na at (0.0000, 0.0000, 0.0000), Sr at (0.0000, 0.5000, 0.5000), Pd at (0.0000, 0.0000, 0.3264), Pd at (0.0000, 0.5000, 0.1620), Pd at (0.5000, 0.0000, 0.5000), Pd at (0.5000, 0.2499, 0.2484) and Pd at (0.5000, 0.5000, 0.0000).

***

# 3
This record from Alexandria via LeMat-Bulk describes crystalline AgGeSe3 at its relaxed geometry. The functional is PBE.

The relative energy among the computed polymorphs is 0 meV per atom.

The space group is C2/c (No. 15) and the conventional cell measures 11.3127, 12.2062 and 7.4333 Å, with angles of 90.00, 109.60 and 90.00 degrees. The inequivalent atoms are Ag at (0.1451, 0.1364, 0.2923), Ge at (0.0000, 0.2227, 0.7500), Ge at (0.0000, 0.4431, 0.2500), Se at (0.1119, 0.2895, 0.5243), Se at (0.1421, 0.3780, 0.0200) and Se at (0.1426, 0.0684, 0.9463).

***

# 4
This record from Alexandria via LeMat-Bulk describes crystalline PrSmMgAu at its relaxed geometry. The functional is PBE.

The relative energy among the computed polymorphs is 0 meV per atom. As for the formation energy: -0.4368 eV/atom.

The space group is P4mm (No. 99) and the conventional cell measures 3.8091, 3.8091 and 7.4619 Å, with angles of 90.00, 90.00 and 90.00 degrees. The inequivalent atoms are Pr at (0.0000, 0.0000, 0.0000), Sm at (0.0000, 0.0000, 0.4718), Mg at (0.5000, 0.5000, 0.7301) and Au at (0.5000, 0.5000, 0.2523).